[1]
Entry from the Alexandria database: Zn2CdPb after structural relaxation (PBE). Values from VASP.

Calculated values
The size of the total moment is 0.00 μB per formula unit. As for the space-group type: Pmm2. As for the energy above the most stable polymorph in this dataset: 0.10 kcal/mol of atoms. For the volume, the calculation gives 22.0 Å³ per atom.

Structure (Quantum ESPRESSO input):
```
&SYSTEM
  ibrav = 0, nat = 4, ntyp = 3
/
ATOMIC_SPECIES
Cd 112.41 Cd.upf
Pb 207.20 Pb.upf
Zn 65.41 Zn.upf
CELL_PARAMETERS angstrom
3.258 0.000 0.000
0.000 3.389 0.000
0.000 0.000 7.968
ATOMIC_POSITIONS crystal
Cd 0.000 0.000 0.453
Pb 0.500 0.500 0.774
Zn 0.000 0.000 0.052
Zn 0.500 0.500 0.221
```



[2]
Entry from the Alexandria database: Zn2CdPb2 after structural relaxation (PBE). Values from VASP.

Calculated values
The size of the total moment is 0.00 μB per formula unit. As for the space-group type: P4/mbm. As for the energy above the most stable polymorph in this dataset: 2.17 kcal/mol of atoms. For the volume, the calculation gives 25.7 Å³ per atom.

Structure (Quantum ESPRESSO input):
```
&SYSTEM
  ibrav = 0, nat = 10, ntyp = 3
/
ATOMIC_SPECIES
Pb 207.20 Pb.upf
Zn 65.41 Zn.upf
Cd 112.41 Cd.upf
CELL_PARAMETERS angstrom
8.473 0.000 0.000
0.000 8.473 0.000
0.000 0.000 3.586
ATOMIC_POSITIONS crystal
Pb 0.311 0.811 0.000
Pb 0.811 0.689 0.000
Pb 0.689 0.189 0.000
Pb 0.189 0.311 0.000
Zn 0.109 0.609 0.500
Zn 0.609 0.891 0.500
Zn 0.891 0.391 0.500
Zn 0.391 0.109 0.500
Cd 0.000 0.000 0.000
Cd 0.500 0.500 0.000
```



[3]
Entry from the Alexandria database: ZnCd2Pb after structural relaxation (PBE). Values from VASP.

Calculated values
The size of the total moment is 0.00 μB per formula unit. As for the space-group type: R3m. As for the energy above the most stable polymorph in this dataset: 0.87 kcal/mol of atoms. For the volume, the calculation gives 25.1 Å³ per atom.

Structure (Quantum ESPRESSO input):
```
&SYSTEM
  ibrav = 0, nat = 4, ntyp = 3
/
ATOMIC_SPECIES
Zn 65.41 Zn.upf
Cd 112.41 Cd.upf
Pb 207.20 Pb.upf
CELL_PARAMETERS angstrom
-0.556 3.108 3.409
-4.085 2.145 0.545
-3.159 -2.158 4.618
ATOMIC_POSITIONS crystal
Zn 0.680 0.680 0.959
Cd 0.052 0.052 0.843
Cd 0.274 0.274 0.177
Pb 0.493 0.493 0.522
```



[4]
Entry from the Alexandria database: ZnCd11Pb after structural relaxation (PBE). Values from VASP.

Calculated values
The size of the total moment is 0.00 μB per formula unit. As for the space-group type: C2/m. For the volume, the calculation gives 23.2 Å³ per atom. For the electronic total energy, the calculation gives -1.110 eV/atom.

Structure (Quantum ESPRESSO input):
```
&SYSTEM
  ibrav = 0, nat = 13, ntyp = 3
/
ATOMIC_SPECIES
Zn 65.41 Zn.upf
Cd 112.41 Cd.upf
Pb 207.20 Pb.upf
CELL_PARAMETERS angstrom
5.541 -0.098 2.309
2.605 7.029 1.085
0.043 -0.049 7.701
ATOMIC_POSITIONS crystal
Zn 0.500 0.500 0.000
Cd 0.297 0.221 0.213
Cd 0.703 0.779 0.787
Cd 0.490 0.779 0.213
Cd 0.510 0.221 0.787
Cd 0.349 0.646 0.654
Cd 0.651 0.354 0.346
Cd 0.997 0.354 0.654
Cd 0.003 0.646 0.346
Cd 0.000 0.500 0.000
Cd 0.500 0.000 0.500
Cd 0.000 0.000 0.500
Pb 0.000 0.000 0.000
```



Question: Which value of size of the total moment does entry 3 give?
Answer: 0.00 μB per formula unit



Question: What is the formula in the fourth record?
Answer: ZnCd11Pb